No. 1
The following is a DFT calculation (GGA-PBE) of an optimized crystal structure of BaSr7Ca3.

The structure in POSCAR format:
```
BaSr7Ca3
1.0
10.045 0.000 0.000
0.000 8.379 0.000
0.000 -4.189 7.256
Ca Sr Ba
3 7 1
Cartesian
7.887 6.270 3.620
7.887 2.109 3.620
7.887 4.189 0.016
4.634 4.189 4.841
1.039 2.108 6.055
4.634 6.288 1.207
1.039 0.000 2.403
1.039 -2.108 6.055
4.634 2.091 1.207
1.173 4.189 2.419
4.510 0.000 4.837
```

Properties
As for the space group: P3m1 (156). The energy of formation is 0.122 eV per atom.

No. 2
The following is a DFT calculation (GGA-PBE) of an optimized crystal structure of Mg6ZnCdO8.

The structure in POSCAR format:
```
Mg6ZnCdO8
1.0
-3.368 0.843 2.651
1.640 -2.761 2.962
4.472 6.524 3.606
Mg O Zn Cd
6 8 1 1
Cartesian
1.963 0.287 2.403
1.372 2.303 4.610
-0.541 2.089 2.247
4.149 3.476 4.166
1.645 5.279 4.010
2.236 3.262 1.803
0.552 3.684 3.129
0.329 0.782 3.769
0.820 -1.381 1.481
2.415 3.825 5.451
-1.684 0.422 1.326
3.342 4.875 2.695
1.131 1.649 0.912
3.056 1.882 3.284
0.000 0.000 0.000
-0.864 -0.959 2.807
```

Properties
As for the formation energy without anion corrections: -36.14 eV/f.u. As for the space group: P4/mmm (123).

No. 3
The following is a DFT calculation (GGA-PBE) of an optimized crystal structure of TmHfIr.

The structure in POSCAR format:
```
TmHfIr
1.0
-1.840 3.940 1.583
-4.022 1.525 -1.707
-3.816 -0.116 2.615
Hf Tm Ir
1 1 1
Cartesian
0.000 0.000 0.000
-4.839 2.674 1.245
-2.420 1.337 0.623
```

Properties
As for the space group: F-43m (216). The energy of formation is -0.621 eV per atom.

No. 4
The following is a DFT calculation (GGA-PBE) of an optimized crystal structure of Sb2PdIO.

The structure in POSCAR format:
```
Sb2PdIO
1.0
4.452 0.000 0.000
0.000 4.452 0.000
0.000 0.000 6.138
I Sb O Pd
1 2 1 1
Cartesian
0.000 0.000 3.069
2.226 0.000 0.000
0.000 2.226 0.000
0.000 0.000 0.000
2.226 2.226 3.069
```

Properties
As for the formation energy without anion corrections: 1.08 eV/f.u. As for the space group: P4/mmm (123).